The following is a PBE calculation of a geometry-optimized Li4FeGe2Au structure, from OQMD via LeMat-Bulk.

As for the raw total energy: -31.00 eV per cell. As for the size of the total moment: 0.30 μB per atom.

```
data_Li4FeGe2Au
_chemical_formula_sum 'Li4 Fe1 Ge2 Au1'
_space_group_name_H-M_alt 'P -4 m 2'
_space_group_IT_number 115
_cell_length_a 4.2235
_cell_length_b 4.2235
_cell_length_c 6.2149
_cell_angle_alpha 90.00
_cell_angle_beta 90.00
_cell_angle_gamma 90.00
loop_
_space_group_symop_operation_xyz
'x,y,z'
'y,-x,-z'
'-x,-y,z'
'-y,x,-z'
'-x,y,z'
'-y,-x,-z'
'x,-y,z'
'y,x,-z'
loop_
_atom_site_label
_atom_site_type_symbol
_atom_site_fract_x
_atom_site_fract_y
_atom_site_fract_z
Li1 Li 0.0000 0.0000 0.0000
Li2 Li 0.0000 0.5000 0.7469
Li3 Li 0.5000 0.5000 0.5000
Fe1 Fe 0.0000 0.0000 0.5000
Ge1 Ge 0.0000 0.5000 0.2826
Au1 Au 0.5000 0.5000 0.0000
```

---

The following is a PBE calculation of a geometry-optimized LuFeGeAu structure, from OQMD via LeMat-Bulk.

As for the polymorph energy (0 for the lowest one): 0.0000 eV/atom. As for the size of the total moment: 0.66 μB per atom.

```
data_LuFeGeAu
_chemical_formula_sum 'Lu4 Fe4 Ge4 Au4'
_space_group_name_H-M_alt 'F -4 3 m'
_space_group_IT_number 216
_space_group_name_Hall 'F -4 2 3'
_cell_length_a 6.6126
_cell_length_b 6.6126
_cell_length_c 6.6126
_cell_angle_alpha 90.00
_cell_angle_beta 90.00
_cell_angle_gamma 90.00
loop_
_atom_site_label
_atom_site_type_symbol
_atom_site_fract_x
_atom_site_fract_y
_atom_site_fract_z
Lu1 Lu 0.0000 0.0000 0.0000
Fe1 Fe 0.0000 0.0000 0.5000
Ge1 Ge 0.2500 0.2500 0.2500
Au1 Au 0.2500 0.2500 0.7500
```

---

The following is a PBE calculation of a geometry-optimized LuFeGeAu structure, from OQMD via LeMat-Bulk.

As for the polymorph energy (0 for the lowest one): 0.1151 eV/atom. As for the size of the total moment: 0.50 μB per atom.

```
data_LuFeGeAu
_chemical_formula_sum 'Lu4 Fe4 Ge4 Au4'
_space_group_name_H-M_alt 'F -4 3 m'
_space_group_IT_number 216
_space_group_name_Hall 'F -4 2 3'
_cell_length_a 6.5594
_cell_length_b 6.5594
_cell_length_c 6.5594
_cell_angle_alpha 90.00
_cell_angle_beta 90.00
_cell_angle_gamma 90.00
loop_
_atom_site_label
_atom_site_type_symbol
_atom_site_fract_x
_atom_site_fract_y
_atom_site_fract_z
Lu1 Lu 0.0000 0.0000 0.0000
Fe1 Fe 0.2500 0.2500 0.7500
Ge1 Ge 0.0000 0.0000 0.5000
Au1 Au 0.2500 0.2500 0.2500
```

---

The following is a PBE calculation of a geometry-optimized NbFeGeAu structure, from OQMD via LeMat-Bulk.

As for the polymorph energy (0 for the lowest one): 0.0000 eV/atom. As for the size of the total moment: 0.46 μB per atom.

```
data_NbFeGeAu
_chemical_formula_sum 'Nb4 Fe4 Ge4 Au4'
_space_group_name_H-M_alt 'F -4 3 m'
_space_group_IT_number 216
_space_group_name_Hall 'F -4 2 3'
_cell_length_a 6.3450
_cell_length_b 6.3450
_cell_length_c 6.3450
_cell_angle_alpha 90.00
_cell_angle_beta 90.00
_cell_angle_gamma 90.00
loop_
_atom_site_label
_atom_site_type_symbol
_atom_site_fract_x
_atom_site_fract_y
_atom_site_fract_z
Nb1 Nb 0.0000 0.0000 0.0000
Fe1 Fe 0.0000 0.0000 0.5000
Ge1 Ge 0.2500 0.2500 0.2500
Au1 Au 0.2500 0.2500 0.7500
```

---

The following is a PBE calculation of a geometry-optimized NbFeGeAu structure, from OQMD via LeMat-Bulk.

As for the polymorph energy (0 for the lowest one): 0.1529 eV/atom. As for the size of the total moment: 0.29 μB per atom.

```
data_NbFeGeAu
_chemical_formula_sum 'Nb4 Fe4 Ge4 Au4'
_space_group_name_H-M_alt 'F -4 3 m'
_space_group_IT_number 216
_space_group_name_Hall 'F -4 2 3'
_cell_length_a 6.3661
_cell_length_b 6.3661
_cell_length_c 6.3661
_cell_angle_alpha 90.00
_cell_angle_beta 90.00
_cell_angle_gamma 90.00
loop_
_atom_site_label
_atom_site_type_symbol
_atom_site_fract_x
_atom_site_fract_y
_atom_site_fract_z
Nb1 Nb 0.0000 0.0000 0.0000
Fe1 Fe 0.2500 0.2500 0.7500
Ge1 Ge 0.0000 0.0000 0.5000
Au1 Au 0.2500 0.2500 0.2500
```

---

The following is a PBE calculation of a geometry-optimized FeGeOsAu structure, from OQMD via LeMat-Bulk.

As for the polymorph energy (0 for the lowest one): 0.0000 eV/atom. As for the size of the total moment: 0.67 μB per atom.

```
data_FeGeOsAu
_chemical_formula_sum 'Fe4 Ge4 Os4 Au4'
_space_group_name_H-M_alt 'F -4 3 m'
_space_group_IT_number 216
_space_group_name_Hall 'F -4 2 3'
_cell_length_a 6.1964
_cell_length_b 6.1964
_cell_length_c 6.1964
_cell_angle_alpha 90.00
_cell_angle_beta 90.00
_cell_angle_gamma 90.00
loop_
_atom_site_label
_atom_site_type_symbol
_atom_site_fract_x
_atom_site_fract_y
_atom_site_fract_z
Fe1 Fe 0.0000 0.0000 0.0000
Ge1 Ge 0.2500 0.2500 0.7500
Os1 Os 0.0000 0.0000 0.5000
Au1 Au 0.2500 0.2500 0.2500
```

---

The following is a PBE calculation of a geometry-optimized FeGePtAu structure, from OQMD via LeMat-Bulk.

As for the polymorph energy (0 for the lowest one): 0.0000 eV/atom. As for the size of the total moment: 0.72 μB per atom.

```
data_FeGePtAu
_chemical_formula_sum 'Fe4 Ge4 Pt4 Au4'
_space_group_name_H-M_alt 'F -4 3 m'
_space_group_IT_number 216
_space_group_name_Hall 'F -4 2 3'
_cell_length_a 6.3103
_cell_length_b 6.3103
_cell_length_c 6.3103
_cell_angle_alpha 90.00
_cell_angle_beta 90.00
_cell_angle_gamma 90.00
loop_
_atom_site_label
_atom_site_type_symbol
_atom_site_fract_x
_atom_site_fract_y
_atom_site_fract_z
Fe1 Fe 0.0000 0.0000 0.0000
Ge1 Ge 0.2500 0.2500 0.7500
Pt1 Pt 0.0000 0.0000 0.5000
Au1 Au 0.2500 0.2500 0.2500
```

---

The following is a PBE calculation of a geometry-optimized FeReGeAu structure, from OQMD via LeMat-Bulk.

As for the polymorph energy (0 for the lowest one): 0.2667 eV/atom. As for the size of the total moment: 0.56 μB per atom.

```
data_FeReGeAu
_chemical_formula_sum 'Fe4 Re4 Ge4 Au4'
_space_group_name_H-M_alt 'F -4 3 m'
_space_group_IT_number 216
_space_group_name_Hall 'F -4 2 3'
_cell_length_a 6.2496
_cell_length_b 6.2496
_cell_length_c 6.2496
_cell_angle_alpha 90.00
_cell_angle_beta 90.00
_cell_angle_gamma 90.00
loop_
_atom_site_label
_atom_site_type_symbol
_atom_site_fract_x
_atom_site_fract_y
_atom_site_fract_z
Fe1 Fe 0.0000 0.0000 0.0000
Re1 Re 0.2500 0.2500 0.2500
Ge1 Ge 0.2500 0.2500 0.7500
Au1 Au 0.0000 0.0000 0.5000
```